[1]
The following is a PBE-GGA calculation of crystalline Si3TcNi at its relaxed geometry, from Alexandria via LeMat-Bulk. Values from VASP.

Properties
Calculated volume, Å³/cell: 96.7
E_form (uncorrected), eV/atom: 0.75

Geometry as Quantum ESPRESSO input:
```
&SYSTEM
  ibrav = 0, nat = 5, ntyp = 3
/
ATOMIC_SPECIES
Si 28.09 Si.upf
Tc 98.00 Tc.upf
Ni 58.69 Ni.upf
ATOMIC_POSITIONS angstrom
Si 0.0000 0.0000 2.2947
Si 0.0000 2.2947 0.0000
Si 2.2947 0.0000 0.0000
Tc 0.0000 0.0000 0.0000
Ni 2.2947 2.2947 2.2947
CELL_PARAMETERS angstrom
4.5893 0.0000 0.0000
0.0000 4.5893 0.0000
0.0000 0.0000 4.5893
```

[2]
The following is a PBE-GGA calculation of crystalline OsRu at its relaxed geometry, from Alexandria via LeMat-Bulk. Values from VASP.

Properties
Energy relative to the elements, eV/atom: 0.654
Calculated volume, Å³/cell: 260.5

Geometry as Quantum ESPRESSO input:
```
&SYSTEM
  ibrav = 0, nat = 16, ntyp = 2
/
ATOMIC_SPECIES
Os 190.23 Os.upf
Ru 101.07 Ru.upf
ATOMIC_POSITIONS angstrom
Os 0.5879 6.5402 0.0000
Os 1.1390 2.2699 1.8881
Os 1.7657 0.5879 0.0000
Os 2.2699 7.1669 1.8881
Os 6.0359 1.1390 1.8881
Os 6.5402 7.7180 0.0000
Os 7.1669 6.0359 1.8881
Os 7.7180 1.7657 0.0000
Ru 1.1552 4.7787 1.8881
Ru 2.6396 3.2312 0.0000
Ru 3.2312 5.6663 0.0000
Ru 3.5272 1.1552 1.8881
Ru 4.7787 7.1506 1.8881
Ru 5.0746 2.6396 0.0000
Ru 5.6663 5.0746 0.0000
Ru 7.1506 3.5272 1.8881
CELL_PARAMETERS angstrom
8.3058 0.0000 0.0000
0.0000 8.3058 0.0000
0.0000 0.0000 3.7762
```

[3]
The following is a PBE-GGA calculation of crystalline SrTa2W at its relaxed geometry, from Alexandria via LeMat-Bulk. Values from VASP.

Properties
Energy relative to the elements, eV/atom: 0.666
Calculated volume, Å³/cell: 165.7

Geometry as Quantum ESPRESSO input:
```
&SYSTEM
  ibrav = 0, nat = 8, ntyp = 3
/
ATOMIC_SPECIES
Sr 87.62 Sr.upf
Ta 180.95 Ta.upf
W 183.84 W.upf
ATOMIC_POSITIONS angstrom
Sr 0.0000 0.0000 0.0000
Sr 1.6874 2.3934 0.0000
Ta 0.0000 0.0000 5.3386
Ta 0.0000 2.3934 3.0667
Ta 1.6874 0.0000 3.0667
Ta 1.6874 2.3934 5.3386
W 0.0000 2.3934 7.4707
W 1.6874 0.0000 7.4707
CELL_PARAMETERS angstrom
3.3749 0.0000 0.0000
0.0000 4.7868 0.0000
0.0000 0.0000 10.2591
```

[4]
The following is a PBE-GGA calculation of crystalline SrP2S2 at its relaxed geometry, from Alexandria via LeMat-Bulk. Values from VASP.

Properties
Calculated volume, Å³/cell: 104.0
E_form (uncorrected), eV/atom: -0.38

Geometry as Quantum ESPRESSO input:
```
&SYSTEM
  ibrav = 0, nat = 5, ntyp = 3
/
ATOMIC_SPECIES
Sr 87.62 Sr.upf
P 30.97 P.upf
S 32.06 S.upf
ATOMIC_POSITIONS angstrom
Sr 0.0000 0.0000 0.0000
P 2.4039 2.4039 0.0000
P 2.4039 2.4039 2.2500
S 0.0000 2.4039 2.2500
S 2.4039 0.0000 2.2500
CELL_PARAMETERS angstrom
4.8078 0.0000 0.0000
0.0000 4.8078 0.0000
0.0000 0.0000 4.5000
```

[5]
The following is a PBE-GGA calculation of crystalline RbSiB at its relaxed geometry, from Alexandria via LeMat-Bulk. Values from VASP.

Properties
Calculated volume, Å³/cell: 287.8
E_form (uncorrected), eV/atom: 0.37

Geometry as Quantum ESPRESSO input:
```
&SYSTEM
  ibrav = 0, nat = 12, ntyp = 3
/
ATOMIC_SPECIES
Rb 85.47 Rb.upf
Si 28.09 Si.upf
B 10.81 B.upf
ATOMIC_POSITIONS angstrom
Rb 0.0000 0.0000 0.0000
Rb 2.2193 0.0000 4.7039
Rb 5.9985 1.8082 0.0000
Rb 8.2177 1.8082 4.7039
Si 3.6107 0.0000 1.7252
Si 5.5495 0.0000 3.1711
Si 9.6092 1.8082 1.7252
Si 11.5480 1.8082 3.1711
B 1.2245 1.8082 2.1989
B 2.7143 1.8082 1.6638
B 7.2230 0.0000 2.1989
B 8.7128 0.0000 1.6638
CELL_PARAMETERS angstrom
11.9969 0.0000 0.0000
0.0000 3.6165 0.0000
-0.7910 0.0000 6.6332
```

[6]
The following is a PBE-GGA calculation of crystalline Ba4TlAuI2 at its relaxed geometry, from Alexandria via LeMat-Bulk. Values from VASP.

Properties
Calculated volume, Å³/cell: 362.3
E_form (uncorrected), eV/atom: -0.95

Geometry as Quantum ESPRESSO input:
```
&SYSTEM
  ibrav = 0, nat = 8, ntyp = 4
/
ATOMIC_SPECIES
Ba 137.33 Ba.upf
Tl 204.38 Tl.upf
Au 196.97 Au.upf
I 126.90 I.upf
ATOMIC_POSITIONS angstrom
Ba 1.3901 0.0000 1.9292
Ba -0.0158 2.3842 6.9631
Ba 5.7279 2.3842 2.0365
Ba 4.3219 0.0000 7.0703
Tl 4.2214 0.0000 0.0000
Au 0.0000 2.3842 0.0000
I -1.3654 0.0000 4.4998
I 2.8560 2.3842 4.4998
CELL_PARAMETERS angstrom
8.4429 0.0000 0.0000
0.0000 4.7683 0.0000
-2.7308 0.0000 8.9995
```

[7]
The following is a PBE-GGA calculation of crystalline LaPdAu4 at its relaxed geometry, from Alexandria via LeMat-Bulk. Values from VASP.

Properties
Energy relative to the elements, eV/atom: -0.497
Calculated volume, Å³/cell: 122.3

Geometry as Quantum ESPRESSO input:
```
&SYSTEM
  ibrav = 0, nat = 6, ntyp = 3
/
ATOMIC_SPECIES
La 138.91 La.upf
Pd 106.42 Pd.upf
Au 196.97 Au.upf
ATOMIC_POSITIONS angstrom
La 0.0000 0.0000 0.0000
Pd 5.9088 5.9088 5.9088
Au 2.9595 2.9595 2.9595
Au 4.9189 4.9189 2.9595
Au 4.9189 2.9595 4.9189
Au 2.9595 4.9189 4.9189
CELL_PARAMETERS angstrom
0.0000 3.9392 3.9392
3.9392 0.0000 3.9392
3.9392 3.9392 0.0000
```

[8]
The following is a PBE-GGA calculation of crystalline Nb4W3 at its relaxed geometry, from Alexandria via LeMat-Bulk. Values from VASP.

Properties
Energy relative to the elements, eV/atom: -0.054
Calculated volume, Å³/cell: 240.7

Geometry as Quantum ESPRESSO input:
```
&SYSTEM
  ibrav = 0, nat = 14, ntyp = 2
/
ATOMIC_SPECIES
Nb 92.91 Nb.upf
W 183.84 W.upf
ATOMIC_POSITIONS angstrom
Nb 0.0000 0.0000 0.0000
Nb -0.0344 1.6189 5.0917
Nb 1.0420 0.0000 3.0281
Nb 2.0510 0.0000 6.1437
Nb 5.1532 1.6189 0.0000
Nb 5.1188 0.0000 5.0917
Nb 6.1952 1.6189 3.0281
Nb 7.2042 1.6189 6.1437
W 2.0767 1.6189 1.0107
W 3.1090 1.6189 4.0471
W 4.0698 0.0000 2.0293
W 7.2300 0.0000 1.0107
W 8.2622 0.0000 4.0471
W 9.2231 1.6189 2.0293
CELL_PARAMETERS angstrom
10.3064 0.0000 0.0000
0.0000 3.2379 0.0000
-1.0276 0.0000 7.2128
```

no.,final energy (eV for the cell shown)
1,-28.7
2,-153.6
3,-71.4
4,-22.7
5,-47.9
6,-24.0
7,-26.2
8,-159.0